(1)
Crystalline CeSm2Co2 at its relaxed geometry. Source: Alexandria via LeMat-Bulk, functional PBE.

Cell lengths 6.0662, 6.0662, 7.0184 Å; angles 82.22, 82.22, 61.38 degrees
With the nearest neighbours (Å) after each atom.
Positions (direct):
Ce1 0.0778 0.9222 0.2500  4 Co 2.49-2.67
Ce2 0.9222 0.0778 0.7500  4 Co 2.49-2.67
Sm1 0.4550 0.2396 0.1473  4 Co 2.87-3.00
Sm2 0.7604 0.5450 0.3527  4 Co 2.87-3.00
Sm3 0.5450 0.7604 0.8527  4 Co 2.87-3.00
Sm4 0.2396 0.4550 0.6473  4 Co 2.87-3.00
Co1 0.6959 0.0008 0.5177  1 Co 2.43, 2 Ce 2.49-2.67
Co2 0.9992 0.3041 0.9823  1 Co 2.43, 2 Ce 2.49-2.67
Co3 0.3041 0.9992 0.4823  1 Co 2.43, 2 Ce 2.49-2.67
Co4 0.0008 0.6959 0.0177  1 Co 2.43, 2 Ce 2.49-2.67

## Properties
The formation energy comes out at -186 meV per atom. The calculated volume comes out at 22.39 Å³ per atom. For the energy above the most stable polymorph in this dataset, the calculation gives 0.0000 eV per atom. The density of states at the Fermi level is 11.7 states/eV/cell. The crystal system is monoclinic. The value obtained for the total energy is -6.10 eV/atom.

=====

(2)
Crystalline Ce3SmCo8 at its relaxed geometry. Source: Alexandria via LeMat-Bulk, functional PBE.

Cell lengths 5.0195, 5.0195, 8.6831 Å; angles 73.20, 73.20, 60.00 degrees
With the nearest neighbours (Å) after each atom.
Positions (direct):
Ce1 0.3735 0.3735 0.8795  12 Co 2.89-2.96, 4 Ce 3.04
Ce2 0.0022 0.0022 0.9933  12 Co 2.88-2.96, 3 Ce 3.04, 1 Sm 3.10
Ce3 0.4973 0.4973 0.5081  12 Co 2.91-3.01, 1 Ce 3.04, 3 Sm 3.10
Sm1 0.8759 0.8759 0.3722  12 Co 2.94-2.97, 4 Ce 3.10
Co1 0.9384 0.4381 0.1854  6 Co 2.49-2.51
Co2 0.4368 0.9372 0.6888  6 Co 2.50-2.52
Co3 0.4381 0.4381 0.1854  6 Co 2.49-2.51
Co4 0.9372 0.9372 0.6888  6 Co 2.50-2.52
Co5 0.1878 0.1878 0.4366  6 Co 2.51-2.52
Co6 0.6874 0.6874 0.9377  6 Co 2.49-2.50
Co7 0.4381 0.9384 0.1854  6 Co 2.49-2.51
Co8 0.9372 0.4368 0.6888  6 Co 2.50-2.52

## Properties
The formation energy comes out at -196 meV per atom. The calculated volume comes out at 14.88 Å³ per atom. The density of states at the Fermi level is 17.9 states/eV/cell. The crystal system is trigonal. The value obtained for the total energy is -6.81 eV/atom.

=====

(3)
Crystalline Ce2SmCo at its relaxed geometry. Source: Alexandria via LeMat-Bulk, functional PBE.

Cell lengths 3.5058, 3.5058, 8.1900 Å; angles 90.00, 90.00, 90.00 degrees
With the nearest neighbours (Å) after each atom.
Positions (direct):
Co1 0.5000 0.5000 0.0000  8 Ce 2.86
Ce1 0.0000 0.0000 0.8257  1 Ce 2.86, 4 Co 2.86
Ce2 0.0000 0.0000 0.1743  1 Ce 2.86, 4 Co 2.86
Sm1 0.5000 0.5000 0.5000  4 Sm 3.51, 8 Ce 3.64

## Properties
The formation energy comes out at 3 meV per atom. The calculated volume comes out at 25.17 Å³ per atom. For the energy above the most stable polymorph in this dataset, the calculation gives 0.1196 eV per atom. The density of states at the Fermi level is 9.8 states/eV/cell. The crystal system is tetragonal. The value obtained for the total energy is -5.92 eV/atom.

=====

(4)
Crystalline Ce2SmCo2 at its relaxed geometry. Source: Alexandria via LeMat-Bulk, functional PBE.

Cell lengths 3.6768, 6.8660, 8.9217 Å; angles 90.00, 90.00, 105.53 degrees
With the nearest neighbours (Å) after each atom.
Positions (direct):
Ce1 0.3198 0.6397 0.9643  4 Co 2.61-2.78
Ce2 0.6802 0.3603 0.4643  4 Co 2.61-2.78
Ce3 0.1058 0.2117 0.1863  1 Co 2.19
Ce4 0.8942 0.7883 0.6863  1 Co 2.19
Sm1 0.4050 0.8100 0.3363  6 Co 3.06-3.23
Sm2 0.5950 0.1900 0.8363  6 Co 3.06-3.23
Co1 0.2344 0.4689 0.6561  4 Ce 2.61-2.81, 1 Co 2.75
Co2 0.7656 0.5311 0.1561  4 Ce 2.61-2.81, 1 Co 2.75
Co3 0.9636 0.9271 0.0614  1 Ce 2.19
Co4 0.0364 0.0729 0.5614  1 Ce 2.19

## Properties
The formation energy comes out at -151 meV per atom. The calculated volume comes out at 21.70 Å³ per atom. The density of states at the Fermi level is 13.7 states/eV/cell. The crystal system is orthorhombic. The value obtained for the total energy is -6.31 eV/atom.

=====

(5)
Crystalline Ce3Sm2Co2 at its relaxed geometry. Source: Alexandria via LeMat-Bulk, functional PBE.

Cell lengths 3.6458, 6.0420, 8.6816 Å; angles 69.44, 77.88, 72.44 degrees
With the nearest neighbours (Å) after each atom.
Positions (direct):
Ce1 0.5000 0.0000 0.0000  4 Co 2.62
Ce2 0.3801 0.8102 0.4297  2 Co 2.59
Ce3 0.6199 0.1898 0.5703  2 Co 2.59
Sm1 0.1670 0.4662 0.1999  3 Co 3.12-3.23
Sm2 0.8330 0.5338 0.8001  3 Co 3.12-3.23
Co1 0.1180 0.9811 0.7828  4 Ce 2.59-2.62
Co2 0.8820 0.0189 0.2172  4 Ce 2.59-2.62

## Properties
The formation energy comes out at -141 meV per atom. The calculated volume comes out at 24.22 Å³ per atom. The density of states at the Fermi level is 10.8 states/eV/cell. The crystal system is monoclinic. The value obtained for the total energy is -6.06 eV/atom.

=====

(6)
Crystalline Ce2SmCo at its relaxed geometry. Source: Alexandria via LeMat-Bulk, functional PBE.

Cell lengths 3.7314, 3.7314, 9.1570 Å; angles 78.24, 78.24, 60.00 degrees
With the nearest neighbours (Å) after each atom.
Positions (direct):
Ce1 0.0595 0.0595 0.8216  3 Co 2.68
Ce2 0.2744 0.2744 0.1767  3 Co 2.66
Sm1 0.4996 0.4996 0.5013  6 Ce 3.57-3.60, 6 Sm 3.73
Co1 0.6665 0.6665 0.0004  6 Ce 2.66-2.68

## Properties
The formation energy comes out at -14 meV per atom. The calculated volume comes out at 26.83 Å³ per atom. For the energy above the most stable polymorph in this dataset, the calculation gives 0.1031 eV per atom. The density of states at the Fermi level is 8.4 states/eV/cell. The crystal system is trigonal. The value obtained for the total energy is -5.94 eV/atom.

=====

(7)
Crystalline CeSmCo3 at its relaxed geometry. Source: Alexandria via LeMat-Bulk, functional PBE.

Cell lengths 4.1500, 4.0110, 11.0834 Å; angles 100.42, 90.00, 89.99 degrees
With the nearest neighbours (Å) after each atom.
Positions (direct):
Ce1 0.2500 0.7906 0.5813  1 Co 2.27
Ce2 0.7500 0.2094 0.4187  1 Co 2.27
Sm1 0.2500 0.0731 0.1462  12 Co 2.92-3.18
Sm2 0.7500 0.9269 0.8538  12 Co 2.92-3.18
Co1 0.2500 0.3710 0.7420  3 Co 2.29-2.42
Co2 0.7500 0.6290 0.2580  3 Co 2.29-2.42
Co3 0.2500 0.4758 0.9516  3 Co 2.29-2.33
Co4 0.7500 0.5242 0.0484  3 Co 2.29-2.33
Co5 0.7500 0.3135 0.6270  1 Ce 2.27, 2 Co 2.42
Co6 0.2500 0.6865 0.3730  1 Ce 2.27, 2 Co 2.42

## Properties
The formation energy comes out at -163 meV per atom. The calculated volume comes out at 18.14 Å³ per atom. The density of states at the Fermi level is 9.8 states/eV/cell. The crystal system is orthorhombic. The value obtained for the total energy is -6.56 eV/atom.

=====

(8)
Crystalline Ce4SmCo2 at its relaxed geometry. Source: Alexandria via LeMat-Bulk, functional PBE.

Cell lengths 6.3307, 7.9328, 7.3407 Å; angles 114.55, 90.00, 90.00 degrees
With the nearest neighbours (Å) after each atom.
Positions (direct):
Co1 0.2500 0.2158 0.9488  2 Ce 2.39-2.51
Co2 0.7500 0.7842 0.0512  2 Ce 2.39-2.51
Co3 0.7500 0.3246 0.4122  1 Ce 2.22
Co4 0.2500 0.6754 0.5878  1 Ce 2.22
Sm1 0.2500 0.8780 0.0312  4 Co 2.97-3.27
Sm2 0.7500 0.1220 0.9688  4 Co 2.97-3.27
Ce1 0.4811 0.4310 0.7882  3 Ce 2.84-2.93, 3 Co 2.85-3.16
Ce2 0.2500 0.3308 0.3232  2 Co 2.51-2.61
Ce3 0.7500 0.6692 0.6768  2 Co 2.51-2.61
Ce4 0.0189 0.4310 0.7882  3 Ce 2.84-2.93, 3 Co 2.85-3.16
Ce5 0.7500 0.0330 0.3779  2 Co 2.22-2.39
Ce6 0.9811 0.5690 0.2118  3 Ce 2.84-2.93, 3 Co 2.85-3.16
Ce7 0.5189 0.5690 0.2118  3 Ce 2.84-2.93, 3 Co 2.85-3.16
Ce8 0.2500 0.9670 0.6221  2 Co 2.22-2.39

## Properties
The formation energy comes out at -98 meV per atom. The calculated volume comes out at 23.95 Å³ per atom. The density of states at the Fermi level is 25.8 states/eV/cell. The crystal system is monoclinic. The value obtained for the total energy is -6.19 eV/atom.

=====

(9)
Crystalline CeSm3Co3 at its relaxed geometry. Source: Alexandria via LeMat-Bulk, functional PBE.

Cell lengths 3.7524, 6.5857, 13.3527 Å; angles 88.96, 81.92, 73.45 degrees
With the nearest neighbours (Å) after each atom.
Positions (direct):
Ce1 0.7713 0.0678 0.3896  1 Co 2.18
Ce2 0.2287 0.9322 0.6104  1 Co 2.18
Sm1 0.4933 0.3812 0.6323  6 Co 2.94-3.14
Sm2 0.5067 0.6188 0.3677  6 Co 2.94-3.14
Sm3 0.2643 0.2767 0.1948  2 Co 2.70
Sm4 0.7357 0.7233 0.8052  2 Co 2.70
Sm5 0.4131 0.2545 0.9194  6 Co 2.91-3.00
Sm6 0.5869 0.7455 0.0806  6 Co 2.91-3.00
Co1 0.8866 0.6830 0.5438  1 Co 2.56, 2 Ce 2.59
Co2 0.1134 0.3170 0.4562  1 Co 2.56, 2 Ce 2.59
Co3 0.0878 0.8946 0.9297  1 Co 2.26
Co4 0.9122 0.1054 0.0703  1 Co 2.26
Co5 0.9244 0.9106 0.2407  1 Ce 2.18
Co6 0.0756 0.0894 0.7593  1 Ce 2.18

## Properties
The formation energy comes out at -141 meV per atom. The calculated volume comes out at 22.36 Å³ per atom. The density of states at the Fermi level is 11.1 states/eV/cell. The crystal system is monoclinic. The value obtained for the total energy is -6.06 eV/atom.

=====

(10)
Crystalline CeSm3Co2 at its relaxed geometry. Source: Alexandria via LeMat-Bulk, functional PBE.

Cell lengths 3.8938, 8.6950, 10.4363 Å; angles 68.31, 79.25, 77.06 degrees
With the nearest neighbours (Å) after each atom.
Positions (direct):
Ce1 0.4100 0.5230 0.6571  3 Co 2.30-2.49
Ce2 0.5900 0.4770 0.3429  3 Co 2.30-2.49
Sm1 0.0496 0.1430 0.7579  3 Co 2.90-2.91
Sm2 0.9504 0.8570 0.2421  3 Co 2.90-2.91
Sm3 0.6633 0.6886 0.9848  3 Co 2.77-3.03
Sm4 0.3367 0.3114 0.0152  3 Co 2.77-3.03
Sm5 0.7568 0.8597 0.6267  3 Co 2.85-3.01
Sm6 0.2432 0.1403 0.3733  3 Co 2.85-3.01
Co1 0.8635 0.4553 0.8177  2 Ce 2.49, 2 Sm 2.77
Co2 0.1365 0.5447 0.1823  2 Ce 2.49, 2 Sm 2.77
Co3 0.6143 0.2368 0.5347  1 Ce 2.30
Co4 0.3857 0.7632 0.4653  1 Ce 2.30

## Properties
The formation energy comes out at -67 meV per atom. The calculated volume comes out at 26.49 Å³ per atom. The density of states at the Fermi level is 12.6 states/eV/cell. The crystal system is monoclinic. The value obtained for the total energy is -5.78 eV/atom.

=====

(11)
Crystalline CeSm2Co2 at its relaxed geometry. Source: Alexandria via LeMat-Bulk, functional PBE.

Cell lengths 3.6879, 6.7685, 9.5604 Å; angles 88.48, 78.88, 74.19 degrees
With the nearest neighbours (Å) after each atom.
Positions (direct):
Ce1 0.7859 0.0796 0.3485  1 Co 2.21
Ce2 0.2141 0.9204 0.6515  1 Co 2.21
Sm1 0.3347 0.2657 0.0648  4 Co 2.89-2.99
Sm2 0.4695 0.3753 0.6857  6 Co 2.92-3.18
Sm3 0.6653 0.7343 0.9352  4 Co 2.89-2.99
Sm4 0.5305 0.6247 0.3143  6 Co 2.92-3.18
Co1 0.0294 0.0779 0.8633  1 Ce 2.21
Co2 0.1219 0.3248 0.4313  2 Ce 2.55, 1 Co 2.59
Co3 0.9706 0.9221 0.1367  1 Ce 2.21
Co4 0.8781 0.6752 0.5687  2 Ce 2.55, 1 Co 2.59

## Properties
The formation energy comes out at -166 meV per atom. The calculated volume comes out at 22.52 Å³ per atom. For the energy above the most stable polymorph in this dataset, the calculation gives 0.0194 eV per atom. The density of states at the Fermi level is 10.3 states/eV/cell. The crystal system is monoclinic. The value obtained for the total energy is -6.08 eV/atom.